No. 1
Material: NpPSe
Method: DFT, PBE
State: relaxed

Geometry as POSCAR:
```
NpPSe
1.0
4.619 0.000 0.000
2.310 4.001 0.000
2.310 1.334 3.772
Np P Se
1 1 1
direct
0.250 0.250 0.250
0.000 0.000 0.000
0.500 0.500 0.500
```

Properties
Raw formation energy   -0.535 eV/atom
E_tot   -23.4 eV/f.u.
Density   8.3 g cm⁻³
Crystal system   cubic



No. 2
Material: Np2PSe
Method: DFT, PBE
State: relaxed

Geometry as POSCAR:
```
Np2PSe
1.0
4.036 0.000 0.000
2.018 3.495 0.000
2.018 1.165 6.628
Np P Se
2 1 1
direct
0.255 0.255 0.235
0.745 0.745 0.765
0.000 0.000 0.000
0.500 0.500 0.500
```

Properties
Raw formation energy   -0.996 eV/atom
E_tot   -38.8 eV/f.u.
Density   10.4 g cm⁻³
Crystal system   trigonal
Distance to the lowest polymorph of the same formula   0 meV/atom



No. 3
Material: NpPSe
Method: DFT, PBE
State: relaxed

Geometry as POSCAR:
```
NpPSe
1.0
-1.490 2.055 -2.769
0.735 -2.758 -2.442
-3.807 -1.526 3.465
Np P Se
1 1 1
direct
0.685 0.685 0.369
0.288 0.288 0.576
0.027 0.027 0.055
```

Properties
Raw formation energy   -0.601 eV/atom
E_tot   -23.6 eV/f.u.
Density   8.7 g cm⁻³
Crystal system   tetragonal



No. 4
Material: NpPSe2
Method: DFT, PBE
State: relaxed

Geometry as POSCAR:
```
NpPSe2
1.0
-0.337 2.122 -2.864
-3.032 -0.031 -1.904
-4.360 7.003 3.463
Np P Se
1 1 2
direct
0.000 0.000 0.000
0.500 0.500 0.500
0.109 0.109 0.673
0.891 0.891 0.327
```

Properties
Raw formation energy   0.224 eV/atom
E_tot   -24.4 eV/f.u.
Density   7.3 g cm⁻³
Crystal system   trigonal



No. 5
Material: NpP2Se6
Method: DFT, PBE
State: relaxed

Geometry as POSCAR:
```
NpP2Se6
1.0
6.199 0.000 2.636
2.539 5.655 2.636
0.046 0.030 8.498
Np P Se
1 2 6
direct
0.333 0.333 0.000
0.717 0.717 0.850
0.616 0.616 0.151
0.713 0.453 0.757
0.077 0.713 0.757
0.453 0.077 0.757
0.292 0.548 0.244
0.916 0.292 0.244
0.548 0.916 0.244
```

Properties
Raw formation energy   -0.350 eV/atom
E_tot   -47.8 eV/f.u.
Density   4.3 g cm⁻³
Crystal system   trigonal



No. 6
Material: Np2PSe
Method: DFT, PBE
State: relaxed

Geometry as POSCAR:
```
Np2PSe
1.0
4.036 0.000 0.000
0.000 5.707 0.000
0.000 0.000 8.086
Np P Se
4 2 2
direct
0.000 0.000 0.862
0.000 0.000 0.386
0.500 0.500 0.614
0.500 0.500 0.138
0.500 0.000 0.625
0.000 0.500 0.375
0.000 0.500 0.876
0.500 0.000 0.124
```

Properties
Raw formation energy   -0.989 eV/atom
E_tot   -38.7 eV/f.u.
Density   10.4 g cm⁻³
Crystal system   orthorhombic
Distance to the lowest polymorph of the same formula   7 meV/atom



Copy entry 3 word for word.
Material: NpPSe
Method: DFT, PBE
State: relaxed

Geometry as POSCAR:
```
NpPSe
1.0
-1.490 2.055 -2.769
0.735 -2.758 -2.442
-3.807 -1.526 3.465
Np P Se
1 1 1
direct
0.685 0.685 0.369
0.288 0.288 0.576
0.027 0.027 0.055
```

Properties
Raw formation energy   -0.601 eV/atom
E_tot   -23.6 eV/f.u.
Density   8.7 g cm⁻³
Crystal system   tetragonal



Question: Which of these has the lowest density?
Answer: NpP2Se6



Question: What is the formula in the first record?
Answer: NpPSe



Question: Which of these has the highest raw formation energy?
Answer: NpPSe2